# 1
Entry from Alexandria via LeMat-Bulk: Pr4AsSe4 after structural relaxation (PBE).

Calculated volume in A^3/atom: 31.0
Raw total energy in eV for the cell shown: -53.99
Uncorrected formation energy in eV per atom: -1.81
DOS at the Fermi energy in states/eV/cell: 2.34
Space group: No. 12

Cell: 4.291 7.443 9.540 Å, 75.97 77.00 73.25°
Fractional positions:
Se 0.107 0.179 0.606
Se 0.301 0.595 0.804
Pr 0.907 0.290 0.896
Se 0.699 0.405 0.196
Pr 0.705 0.891 0.698
As 0.500 0.000 0.000
Pr 0.093 0.710 0.104
Se 0.893 0.821 0.394
Pr 0.295 0.109 0.302


# 2
Entry from Alexandria via LeMat-Bulk: PrAsSe after structural relaxation (PBE).

Calculated volume in A^3/atom: 25.0
Raw total energy in eV for the cell shown: -68.96
Uncorrected formation energy in eV per atom: -1.44
DOS at the Fermi energy in states/eV/cell: 0.00
Space group: No. 62

Cell: 4.006 7.511 9.986 Å, 90.00 90.00 90.00°
Fractional positions:
Se 0.750 0.405 0.155
As 0.750 0.905 0.960
Pr 0.250 0.209 0.342
As 0.750 0.405 0.540
Pr 0.750 0.291 0.842
Se 0.250 0.595 0.845
As 0.250 0.095 0.040
As 0.250 0.595 0.460
Se 0.250 0.095 0.655
Pr 0.250 0.709 0.158
Pr 0.750 0.791 0.658
Se 0.750 0.905 0.345


# 3
Entry from Alexandria via LeMat-Bulk: Pr5As4Se after structural relaxation (PBE).

Calculated volume in A^3/atom: 28.1
Relative energy among the computed polymorphs in meV/atom: 7
Raw total energy in eV for the cell shown: -62.01
Uncorrected formation energy in eV per atom: -1.60
DOS at the Fermi energy in states/eV/cell: 1.88
Space group: No. 139

Cell: 4.301 4.301 15.519 Å, 97.96 97.96 90.00°
Fractional positions:
Se 0.000 0.000 0.000
Pr 0.300 0.300 0.599
As 0.200 0.200 0.400
Pr 0.700 0.700 0.401
As 0.800 0.800 0.600
As 0.401 0.401 0.803
Pr 0.102 0.102 0.205
Pr 0.500 0.500 0.000
As 0.599 0.599 0.197
Pr 0.898 0.898 0.795